1.
# Ni2MoCl

An optimized crystal structure of Ni2MoCl (GGA-PBE, the Alexandria database).

Results
Formation energy from raw total energies, eV per atom: 0.564
Energy above the most stable polymorph in this dataset, kcal/mol of atoms: 9.66

Lattice parameters (Å, degrees): 4.834 8.212 2.745 90.00 90.18 90.00
Positions (direct):
Ni1 0.250 0.250 0.000
Ni2 0.250 0.750 0.000
Ni3 0.750 0.250 0.000
Ni4 0.750 0.750 0.000
Mo1 0.000 0.000 0.500
Mo2 0.500 0.500 0.500
Cl1 0.000 0.500 0.500
Cl2 0.500 0.000 0.500

2.
# CaBi2Ir

An optimized crystal structure of CaBi2Ir (GGA-PBE, the Alexandria database).

Results
Energy of formation, eV/f.u.: -0.28

Lattice parameters (Å, degrees): 7.265 7.265 7.265 90.00 90.00 90.00
Positions (direct):
Ca1 0.000 0.000 0.000
Ca2 0.000 0.500 0.500
Ca3 0.500 0.000 0.500
Ca4 0.500 0.500 0.000
Bi1 0.250 0.250 0.250
Bi2 0.250 0.250 0.750
Bi3 0.250 0.750 0.250
Bi4 0.250 0.750 0.750
Bi5 0.750 0.250 0.250
Bi6 0.750 0.250 0.750
Bi7 0.750 0.750 0.250
Bi8 0.750 0.750 0.750
Ir1 0.000 0.000 0.500
Ir2 0.000 0.500 0.000
Ir3 0.500 0.000 0.000
Ir4 0.500 0.500 0.500

3.
# Tl3SnSe4

An optimized crystal structure of Tl3SnSe4 (GGA-PBE, the Alexandria database).

Results
Formation energy from raw total energies, eV per atom: -0.323
Energy above the most stable polymorph in this dataset, kcal/mol of atoms: 0.89

Lattice parameters (Å, degrees): 9.458 11.392 9.773 90.00 90.00 90.00
Positions (direct):
Tl1 0.073 0.250 0.117
Tl2 0.108 0.568 0.312
Tl3 0.108 0.932 0.312
Tl4 0.392 0.068 0.812
Tl5 0.392 0.432 0.812
Tl6 0.427 0.750 0.617
Tl7 0.573 0.250 0.383
Tl8 0.608 0.568 0.188
Tl9 0.608 0.932 0.188
Tl10 0.892 0.068 0.688
Tl11 0.892 0.432 0.688
Tl12 0.927 0.750 0.883
Sn1 0.200 0.250 0.524
Sn2 0.300 0.750 0.024
Sn3 0.700 0.250 0.976
Sn4 0.800 0.750 0.476
Se1 0.046 0.750 0.582
Se2 0.152 0.250 0.784
Se3 0.155 0.566 0.970
Se4 0.155 0.934 0.970
Se5 0.345 0.066 0.470
Se6 0.345 0.434 0.470
Se7 0.348 0.750 0.284
Se8 0.454 0.250 0.082
Se9 0.546 0.750 0.918
Se10 0.652 0.250 0.716
Se11 0.655 0.566 0.530
Se12 0.655 0.934 0.530
Se13 0.845 0.066 0.030
Se14 0.845 0.434 0.030
Se15 0.848 0.750 0.216
Se16 0.954 0.250 0.418

4.
# CeDyHo5

An optimized crystal structure of CeDyHo5 (GGA-PBE, the Alexandria database).

Results
Energy of formation, eV/f.u.: 1.58

Lattice parameters (Å, degrees): 6.185 6.429 6.453 117.04 95.80 95.96
Positions (direct):
Ce1 0.000 0.000 0.000
Dy1 0.000 0.500 0.500
Ho1 0.000 0.000 0.500
Ho2 0.269 0.580 0.079
Ho3 0.499 0.813 0.688
Ho4 0.501 0.187 0.312
Ho5 0.731 0.420 0.921

5.
# Li2AgOs

An optimized crystal structure of Li2AgOs (GGA-PBE, the Alexandria database).

Results
Energy of formation, eV/f.u.: 1.04
Energy above the most stable polymorph in this dataset, kcal/mol of atoms: 4.22

Lattice parameters (Å, degrees): 9.565 2.560 4.907 90.00 96.41 90.00
Positions (direct):
Li1 0.000 0.000 0.000
Li2 0.241 0.000 0.740
Li3 0.500 0.500 0.000
Li4 0.741 0.500 0.740
Ag1 0.493 0.000 0.482
Ag2 0.993 0.500 0.482
Os1 0.247 0.500 0.240
Os2 0.747 0.000 0.240

no.,magnetization (μB/f.u.)
1,0.00
2,0.00
3,0.00
4,1.59
5,0.00